1.
Material: Tb2Pr4Ga3O2
Method: DFT, PBE
State: optimized geometry

a b c (Å): 12.257 12.257 12.257
angles (deg): 157.12 157.12 32.57
Positions (direct):
Tb1 0.203 0.203 0.000
Tb2 0.797 0.797 0.000
Pr1 0.085 0.585 0.500
Pr2 0.415 0.915 0.500
Pr3 0.585 0.085 0.500
Pr4 0.915 0.415 0.500
Ga1 0.329 0.329 0.000
Ga2 0.500 0.500 0.000
Ga3 0.671 0.671 0.000
O1 0.108 0.108 0.000
O2 0.892 0.892 0.000

Computed properties:
For the energy, the calculation gives -5.562 eV per atom. The theoretical density is 6.71 Mg/m³. The total moment comes out at 0.000 μB per formula unit. The space group is No. 139.

2.
Material: PrGa2TeO8
Method: DFT, PBE
State: optimized geometry

a b c (Å): 4.517 4.709 7.215
angles (deg): 84.84 89.62 88.37
Positions (direct):
Pr1 0.000 0.000 0.000
Ga1 0.473 0.466 0.701
Ga2 0.527 0.534 0.299
Te1 0.000 0.000 0.500
O1 0.184 0.809 0.302
O2 0.185 0.778 0.715
O3 0.310 0.289 0.492
O4 0.425 0.301 0.946
O5 0.575 0.699 0.054
O6 0.690 0.711 0.508
O7 0.815 0.222 0.285
O8 0.816 0.191 0.698

Computed properties:
For the energy, the calculation gives -6.129 eV per atom. The theoretical density is 5.83 Mg/m³. The total moment comes out at 0.997 μB per formula unit. The space group is No. 2.

3.
Material: Pr2TlGaO5
Method: DFT, PBE
State: optimized geometry

a b c (Å): 6.902 6.902 5.867
angles (deg): 90.00 90.00 90.00
Positions (direct):
Pr1 0.179 0.321 0.000
Pr2 0.321 0.821 0.000
Pr3 0.679 0.179 0.000
Pr4 0.821 0.679 0.000
Tl1 0.000 0.000 0.500
Tl2 0.500 0.500 0.500
Ga1 0.000 0.500 0.500
Ga2 0.500 0.000 0.500
O1 0.000 0.000 0.000
O2 0.131 0.631 0.257
O3 0.131 0.631 0.743
O4 0.369 0.131 0.257
O5 0.369 0.131 0.743
O6 0.500 0.500 0.000
O7 0.631 0.869 0.257
O8 0.631 0.869 0.743
O9 0.869 0.369 0.257
O10 0.869 0.369 0.743

Computed properties:
For the energy, the calculation gives -6.713 eV per atom. The theoretical density is 7.56 Mg/m³. The total moment comes out at 0.000 μB per formula unit. The space group is No. 127.